(1)
Material: Y2SN
Method: DFT, PBE
State: optimized geometry

Cell and atoms, written as POSCAR:
```
Y2SN
1.0
-2.5688 -1.5397 -2.0039
0.8845 -1.7826 -3.0042
0.0419 -6.5428 1.7335
Y S N
2 1 1
direct
0.2638 0.2638 0.2087
0.0676 0.0676 0.7972
0.4990 0.4990 0.5031
0.6697 0.6697 0.9910
```

Results
SG ... R3m (160)
Spin magnetization ... 0.0 μB per formula unit
Density of states at the Fermi level ... 2.14 states/eV per cell
E ... -32.56 eV for the cell shown
ΔE_f (raw) ... -1796 meV/atom
Relative energy among the computed polymorphs ... 56 meV per atom

(2)
Material: Y2SN
Method: DFT, PBE
State: optimized geometry

Cell and atoms, written as POSCAR:
```
Y2SN
1.0
-0.8033 2.7259 2.6294
-4.4031 -3.1767 1.9483
5.0413 -3.6943 5.3701
Y N S
4 2 2
direct
0.7010 0.6576 0.1971
0.2010 0.0398 0.4610
0.7009 0.5398 0.7550
0.2010 0.1576 0.0189
0.7010 0.3731 0.0000
0.2010 0.8731 0.2160
0.7010 0.3629 0.4509
0.2009 0.8629 0.7650
```

Results
SG ... Pmn2_1 (31)
Spin magnetization ... 0.7 μB per formula unit
Density of states at the Fermi level ... 2.79 states/eV per cell
E ... -63.01 eV for the cell shown
ΔE_f (raw) ... -1531 meV/atom
Relative energy among the computed polymorphs ... 320 meV per atom

(3)
Material: Y4S3N2
Method: DFT, PBE
State: optimized geometry

Cell and atoms, written as POSCAR:
```
Y4S3N2
1.0
-5.2461 -2.2495 -3.4165
6.9920 -6.5443 -6.4274
-1.0119 -7.3778 6.4112
Y S N
16 12 8
direct
0.7205 0.2500 0.4396
0.3241 0.9723 0.8839
0.8241 0.5277 0.6161
0.2205 0.2500 0.0604
0.1198 0.2500 0.6359
0.3241 0.5277 0.8839
0.6198 0.2500 0.8641
0.6759 0.0277 0.1161
0.8802 0.7500 0.3641
0.2795 0.7500 0.5604
0.1759 0.4723 0.3839
0.1759 0.0277 0.3839
0.8241 0.9723 0.6161
0.6759 0.4723 0.1161
0.7795 0.7500 0.9396
0.3802 0.7500 0.1359
0.0463 0.9076 0.1489
0.5463 0.9076 0.3511
0.4537 0.0924 0.6489
0.5463 0.5924 0.3511
0.4537 0.4076 0.6489
0.8397 0.2500 0.1740
0.9537 0.4076 0.8511
0.3397 0.2500 0.3260
0.9537 0.0924 0.8511
0.1603 0.7500 0.8260
0.0463 0.5924 0.1489
0.6603 0.7500 0.6740
0.5554 0.8766 0.0084
0.5554 0.6234 0.0084
0.9446 0.1234 0.5084
0.9446 0.3766 0.5084
0.0554 0.6234 0.4916
0.4446 0.1234 0.9916
0.4446 0.3766 0.9916
0.0554 0.8766 0.4916
```

Results
SG ... Pnma (62)
Spin magnetization ... 0.0 μB per formula unit
Density of states at the Fermi level ... 0.00 states/eV per cell
E ... -286.48 eV for the cell shown
ΔE_f (raw) ... -1859 meV/atom
Relative energy among the computed polymorphs ... 80 meV per atom

(4)
Material: YSN
Method: DFT, PBE
State: optimized geometry

Cell and atoms, written as POSCAR:
```
YSN
1.0
3.9232 0.0000 0.0000
0.0000 7.1695 -0.4230
0.0000 -0.4140 7.4609
N S Y
4 4 4
direct
0.4303 0.9261 0.9684
0.5697 0.0739 0.0316
0.9303 0.5739 0.0316
0.0697 0.4261 0.9684
0.7696 0.8934 0.6366
0.7304 0.3934 0.6366
0.2696 0.6066 0.3634
0.2304 0.1066 0.3634
0.2489 0.6625 0.7560
0.7511 0.3375 0.2440
0.7489 0.8375 0.2440
0.2511 0.1625 0.7560
```

Results
SG ... P2_1/c (14)
Spin magnetization ... 0.0 μB per formula unit
Density of states at the Fermi level ... 0.36 states/eV per cell
E ... -91.29 eV for the cell shown
ΔE_f (raw) ... -1302 meV/atom
Relative energy among the computed polymorphs ... 55 meV per atom

(5)
Material: Y2SN
Method: DFT, PBE
State: optimized geometry

Cell and atoms, written as POSCAR:
```
Y2SN
1.0
0.0000 3.2336 3.2336
3.2336 0.0000 3.2336
3.2336 3.2336 0.0000
Y S N
2 1 1
direct
0.2500 0.2500 0.2500
0.7500 0.7500 0.7500
0.5000 0.5000 0.5000
0.0000 0.0000 0.0000
```

Results
SG ... Fm-3m (225)
Spin magnetization ... 0.0 μB per formula unit
Density of states at the Fermi level ... 2.39 states/eV per cell
E ... -29.38 eV for the cell shown
ΔE_f (raw) ... -999 meV/atom
Relative energy among the computed polymorphs ... 853 meV per atom

(6)
Material: Y4S3N2
Method: DFT, PBE
State: optimized geometry

Cell and atoms, written as POSCAR:
```
Y4S3N2
1.0
-1.0720 1.2396 6.5608
3.0998 -1.2828 1.8743
0.5786 8.9589 5.1746
Y S N
4 3 2
direct
0.5815 0.7093 0.1456
0.7768 0.1116 0.3508
0.2232 0.8884 0.6492
0.4185 0.2907 0.8544
0.0000 0.0000 0.0000
0.7795 0.6103 0.7846
0.2205 0.3897 0.2154
0.4371 0.2815 0.6383
0.5629 0.7185 0.3617
```

Results
SG ... C2/m (12)
Spin magnetization ... 0.0 μB per formula unit
E ... -72.34 eV for the cell shown
ΔE_f (raw) ... -1939 meV/atom
Relative energy among the computed polymorphs ... 0 meV per atom

(7)
Material: YSN
Method: DFT, PBE
State: optimized geometry

Cell and atoms, written as POSCAR:
```
YSN
1.0
-0.9410 -0.7467 -5.4993
2.5736 3.1192 -7.3592
0.3958 -4.9947 1.5577
Y S N
2 2 2
direct
0.3637 0.8377 0.4697
0.5594 0.1865 0.3084
0.8506 0.8453 0.5582
0.0725 0.1790 0.2199
0.2693 0.6282 0.9553
0.6537 0.3960 0.8228
```

Results
SG ... P-1 (2)
Spin magnetization ... 0.0 μB per formula unit
Density of states at the Fermi level ... 0.15 states/eV per cell
E ... -45.98 eV for the cell shown
ΔE_f (raw) ... -1357 meV/atom
Relative energy among the computed polymorphs ... 0 meV per atom

(8)
Material: Y4SN2
Method: DFT, PBE
State: optimized geometry

Cell and atoms, written as POSCAR:
```
Y4SN2
1.0
3.4499 0.0000 -0.9435
-0.5619 5.7733 -2.0546
0.0989 -0.7021 7.1406
Y N S
4 2 1
direct
0.3573 0.6875 0.7146
0.1431 0.8065 0.2862
0.6427 0.3125 0.2854
0.8569 0.1935 0.7138
0.7433 0.7468 0.4866
0.2567 0.2532 0.5134
0.0000 0.0000 0.0000
```

Results
SG ... C2/m (12)
Spin magnetization ... 0.0 μB per formula unit
Density of states at the Fermi level ... 4.96 states/eV per cell
E ... -56.84 eV for the cell shown
ΔE_f (raw) ... -1458 meV/atom

(9)
Material: Y4S3N
Method: DFT, PBE
State: optimized geometry

Cell and atoms, written as POSCAR:
```
Y4S3N
1.0
5.4065 0.0000 0.0000
0.0000 5.4065 0.0000
0.0000 0.0000 5.4065
Y N S
4 1 3
direct
0.5000 0.5000 0.5000
0.0000 0.5000 0.0000
0.0000 0.0000 0.5000
0.5000 0.0000 0.0000
0.0000 0.0000 0.0000
0.5000 0.5000 0.0000
0.5000 0.0000 0.5000
0.0000 0.5000 0.5000
```

Results
SG ... Pm-3m (221)
Spin magnetization ... 0.0 μB per formula unit
Density of states at the Fermi level ... 2.55 states/eV per cell
E ... -60.72 eV for the cell shown
ΔE_f (raw) ... -1769 meV/atom
Relative energy among the computed polymorphs ... 122 meV per atom

(10)
Material: Y3SN
Method: DFT, PBE
State: optimized geometry

Cell and atoms, written as POSCAR:
```
Y3SN
1.0
-2.5734 1.8429 -3.5154
-3.9673 -1.3222 2.2111
-0.1212 4.1511 2.2649
N Y S
1 3 1
direct
0.0000 0.0000 0.0000
0.0000 0.0000 0.5000
0.0000 0.5000 0.0000
0.5000 0.0000 0.0000
0.5000 0.5000 0.5000
```

Results
SG ... Pm-3m (221)
Spin magnetization ... 0.0 μB per formula unit
Density of states at the Fermi level ... 5.34 states/eV per cell
E ... -35.86 eV for the cell shown
ΔE_f (raw) ... -804 meV/atom
Relative energy among the computed polymorphs ... 0 meV per atom

(11)
Material: Y4S3N2
Method: DFT, PBE
State: optimized geometry

Cell and atoms, written as POSCAR:
```
Y4S3N2
1.0
6.5955 0.0000 0.0000
0.0000 14.6997 0.0000
0.0000 0.0000 3.8273
N S Y
4 6 8
direct
0.3766 0.9162 0.5000
0.8766 0.5838 0.0000
0.6234 0.0838 0.5000
0.1234 0.4162 0.0000
0.0000 0.0000 0.0000
0.7978 0.2975 0.5000
0.7022 0.7975 0.0000
0.5000 0.5000 0.5000
0.2022 0.7025 0.5000
0.2978 0.2025 0.0000
0.7136 0.9365 0.5000
0.2864 0.0635 0.5000
0.2148 0.3445 0.5000
0.2852 0.8445 0.0000
0.7852 0.6555 0.5000
0.7148 0.1555 0.0000
0.7864 0.4365 0.0000
0.2136 0.5635 0.0000
```

Results
SG ... Pnnm (58)
Spin magnetization ... 0.0 μB per formula unit
E ... -143.95 eV for the cell shown
ΔE_f (raw) ... -1899 meV/atom
Relative energy among the computed polymorphs ... 41 meV per atom

(12)
Material: Y4S3N
Method: DFT, PBE
State: optimized geometry

Cell and atoms, written as POSCAR:
```
Y4S3N
1.0
-2.1552 2.6332 -1.6135
-5.0424 -1.6675 4.0139
3.6024 4.7570 2.9516
S N Y
3 1 4
direct
0.0000 0.5000 0.0000
0.0000 0.0000 0.5000
0.5000 0.5000 0.5000
0.5000 0.0000 0.0000
0.5000 0.2285 0.7715
0.0000 0.2167 0.2167
0.5000 0.7715 0.2285
0.0000 0.7833 0.7833
```

Results
SG ... Cmmm (65)
Spin magnetization ... 0.0 μB per formula unit
Density of states at the Fermi level ... 3.17 states/eV per cell
E ... -61.69 eV for the cell shown
ΔE_f (raw) ... -1891 meV/atom
Relative energy among the computed polymorphs ... 0 meV per atom

The highest spin magnetization belongs to which entry?
number 2

Look up the ΔE_f (raw) of the seventh one.
-1357 meV/atom